Entry 1:
DFT (PBE) results for crystalline GaPt5 at its relaxed geometry.

a = 6.223 Å, b = 6.223 Å, c = 3.959 Å
α = 90.00°, β = 90.00°, γ = 142.74°
Fractional positions:
Ga 0.000 0.000 0.000
Pt 0.167 0.833 0.500
Pt 0.340 0.660 0.000
Pt 0.500 0.500 0.500
Pt 0.660 0.340 0.000
Pt 0.833 0.167 0.500

Computed properties:
Total moment (μB/cell): 0.00
V (Å³/atom): 15.473
Polymorph energy (0 for the lowest one) (eV/f.u.): 0.00
Formation energy from the elements (meV/atom): -285

***

Entry 2:
DFT (PBE) results for crystalline K3Hg2F6 at its relaxed geometry.

a = 10.221 Å, b = 10.221 Å, c = 10.221 Å
α = 153.14°, β = 153.14°, γ = 38.35°
Fractional positions:
K 0.000 0.000 0.000
K 0.179 0.179 0.000
K 0.821 0.821 0.000
Hg 0.426 0.426 0.000
Hg 0.574 0.574 0.000
F 0.083 0.583 0.500
F 0.308 0.308 0.000
F 0.417 0.917 0.500
F 0.583 0.083 0.500
F 0.692 0.692 0.000
F 0.917 0.417 0.500

Computed properties:
Formation energy without anion corrections (eV/atom): -2.041
Total moment (μB/cell): 0.00
V (Å³/atom): 19.779